The following is a DFT calculation (PBE-GGA) of a geometry-optimized KOs3Pb structure.

Output
Excess energy over the best structure of this formula in the dataset, eV per atom: 0.000
Formation energy from the elements, eV per atom: 2.781
SG: Pm-3m, No. 221

a = 5.1345 Å, b = 5.1345 Å, c = 5.1345 Å
α = 90.00°, β = 90.00°, γ = 90.00°
Fractional positions:
Pb1 0.0000 0.0000 0.0000
K1 0.5000 0.5000 0.5000
Os1 0.0000 0.5000 0.0000
Os2 0.0000 0.0000 0.5000
Os3 0.5000 0.0000 0.0000

The following is a DFT calculation (PBE-GGA) of a geometry-optimized PuMgNi2H8 structure.

Output
SG: R-3, No. 148
Raw total energy, eV per cell: -55.41

a = 4.5613 Å, b = 4.5613 Å, c = 5.9933 Å
α = 67.63°, β = 67.63°, γ = 60.00°
Fractional positions:
Pu1 0.5000 0.5000 0.5000
Mg1 0.0000 0.0000 0.0000
Ni1 0.2981 0.2981 0.1057
Ni2 0.7019 0.7019 0.8943
H1 0.1948 0.1948 0.4156
H2 0.5927 0.3531 0.1602
H3 0.8052 0.8052 0.5844
H4 0.8940 0.5927 0.1602
H5 0.1060 0.4073 0.8398
H6 0.3531 0.8940 0.1602
H7 0.6469 0.1060 0.8398
H8 0.4073 0.6469 0.8398